LiRe2Mo (GGA-PBEsol, optimized geometry); symmetry = No. 12; crystal system = monoclinic; energy of formation from the pure elements = 0.269 eV/atom
1.0
2.6592 -4.3536 0.0000
2.6592 4.3536 0.0000
-0.9119 0.0000 2.4490
Li Re Mo
1 2 1
direct
0.0000 0.0000 0.0000 Li
0.0000 0.5000 0.5000 Re
0.5000 0.0000 0.5000 Re
0.5000 0.5000 0.0000 Mo

---

NaCoAg2Pd (GGA-PBEsol, optimized geometry); symmetry = No. 123; crystal system = tetragonal; energy of formation from the pure elements = 1.457 eV/atom
1.0
4.6096 0.0000 0.0000
0.0000 4.6096 0.0000
0.0000 0.0000 4.5719
Na Co Ag Pd
1 1 2 1
direct
0.0000 0.0000 0.0000 Na
0.5000 0.5000 0.5000 Co
0.0000 0.5000 0.0000 Ag
0.5000 0.0000 0.0000 Ag
0.0000 0.0000 0.5000 Pd

---

MgTc (GGA-PBEsol, optimized geometry); symmetry = No. 63; crystal system = orthorhombic; energy of formation from the pure elements = 0.093 eV/atom
1.0
1.4850 -8.0329 0.0000
1.4850 8.0329 0.0000
0.0000 0.0000 2.9841
Mg Tc
2 2
direct
0.0888 0.9112 0.7500 Mg
0.9112 0.0888 0.2500 Mg
0.2926 0.7074 0.7500 Tc
0.7074 0.2926 0.2500 Tc

---

K3SrZn (GGA-PBEsol, optimized geometry); symmetry = No. 221; crystal system = cubic; energy of formation from the pure elements = 0.263 eV/atom
1.0
6.5392 0.0000 0.0000
0.0000 6.5392 0.0000
0.0000 0.0000 6.5392
K Sr Zn
3 1 1
direct
0.0000 0.0000 0.5000 K
0.0000 0.5000 0.0000 K
0.5000 0.0000 0.0000 K
0.5000 0.5000 0.5000 Sr
0.0000 0.0000 0.0000 Zn

---

HgRh (GGA-PBEsol, optimized geometry); symmetry = No. 166; crystal system = trigonal; energy of formation from the pure elements = 0.205 eV/atom
1.0
1.4709 0.8492 4.4165
-1.4709 0.8492 4.4165
0.0000 -1.6985 4.4165
Hg Rh
1 1
direct
0.0000 0.0000 0.0000 Hg
0.5000 0.5000 0.5000 Rh

---

LiZn2Cd (GGA-PBEsol, optimized geometry); symmetry = No. 8; crystal system = monoclinic; energy of formation from the pure elements = -0.073 eV/atom
1.0
4.5547 -1.4274 0.0000
4.5547 1.4274 0.0000
-0.8054 0.0000 4.8787
Li Zn Cd
1 2 1
direct
0.0000 0.0000 0.0000 Li
0.2468 0.2468 0.7514 Zn
0.5084 0.5084 0.5318 Zn
0.7588 0.7588 0.2523 Cd

---

MnCr2Pt (GGA-PBEsol, optimized geometry); symmetry = No. 25; crystal system = orthorhombic; energy of formation from the pure elements = 0.020 eV/atom
1.0
2.6070 0.0000 0.0000
0.0000 3.5191 0.0000
0.0000 0.0000 5.2546
Mn Cr Pt
1 2 1
direct
0.0000 0.0000 0.0000 Mn
0.0000 0.0000 0.5736 Cr
0.5000 0.5000 0.8018 Cr
0.5000 0.5000 0.2915 Pt

---

GaBi2SeO (GGA-PBEsol, optimized geometry); total energy = -4.32 eV/atom; symmetry = No. 123; crystal system = tetragonal
1.0
4.8693 0.0000 0.0000
0.0000 4.8693 0.0000
0.0000 0.0000 4.6727
Ga Bi Se O
1 2 1 1
direct
0.0000 0.0000 0.0000 Ga
0.0000 0.5000 0.5000 Bi
0.5000 0.0000 0.5000 Bi
0.5000 0.5000 0.0000 Se
0.0000 0.0000 0.5000 O

---

ReSb2TeAs (GGA-PBEsol, optimized geometry); total energy = -5.41 eV/atom; symmetry = No. 123; crystal system = tetragonal
1.0
5.1041 0.0000 0.0000
0.0000 5.1041 0.0000
0.0000 0.0000 5.0720
Re Sb Te As
1 2 1 1
direct
0.0000 0.0000 0.0000 Re
0.0000 0.5000 0.0000 Sb
0.5000 0.0000 0.0000 Sb
0.0000 0.0000 0.5000 Te
0.5000 0.5000 0.5000 As

---

SrCr2Ni (GGA-PBEsol, optimized geometry); symmetry = No. 139; crystal system = tetragonal; energy of formation from the pure elements = 1.240 eV/atom
1.0
-1.8059 1.8059 4.8009
1.8059 -1.8059 4.8009
1.8059 1.8059 -4.8009
Sr Cr Ni
1 2 1
direct
0.0000 0.0000 0.0000 Sr
0.2500 0.7500 0.5000 Cr
0.7500 0.2500 0.5000 Cr
0.5000 0.5000 0.0000 Ni

---

SrLiCa3 (GGA-PBEsol, optimized geometry); symmetry = No. 221; crystal system = cubic; energy of formation from the pure elements = 0.879 eV/atom
1.0
6.3959 0.0000 0.0000
0.0000 6.3959 0.0000
0.0000 0.0000 6.3959
Sr Li Ca
1 1 3
direct
0.0000 0.0000 0.0000 Sr
0.5000 0.5000 0.5000 Li
0.0000 0.0000 0.5000 Ca
0.0000 0.5000 0.0000 Ca
0.5000 0.0000 0.0000 Ca

---

LaBi3 (GGA-PBEsol, optimized geometry); symmetry = No. 221; crystal system = cubic; energy of formation from the pure elements = -0.611 eV/atom
1.0
4.9398 0.0000 0.0000
0.0000 4.9398 0.0000
0.0000 0.0000 4.9398
La Bi
1 3
direct
0.0000 0.0000 0.0000 La
0.0000 0.5000 0.5000 Bi
0.5000 0.0000 0.5000 Bi
0.5000 0.5000 0.0000 Bi